Entry 1:
First-principles (GGA-PBE) data for a relaxed Zr2ScPdO crystal, as listed in the Alexandria database.

Energy relative to the elements, uncorrected = -6.6 eV per formula unit

The structure in POSCAR format:
```
Zr2ScPdO
1.0
4.4424 0.0000 0.0000
0.0000 4.4424 0.0000
0.0000 0.0000 4.3489
Zr Sc Pd O
2 1 1 1
direct
0.0000 0.5000 0.0000
0.5000 0.0000 0.0000
0.0000 0.0000 0.5000
0.5000 0.5000 0.5000
0.0000 0.0000 0.0000
```


Entry 2:
First-principles (GGA-PBE) data for a relaxed Pd2SeO crystal, as listed in the Alexandria database.

Energy relative to the elements, uncorrected = 0.1 eV per formula unit

The structure in POSCAR format:
```
Pd2SeO
1.0
0.0000 3.0230 3.0230
3.0230 0.0000 3.0230
3.0230 3.0230 0.0000
Pd Se O
2 1 1
direct
0.2500 0.2500 0.2500
0.7500 0.7500 0.7500
0.0000 0.0000 0.0000
0.5000 0.5000 0.5000
```


Entry 3:
First-principles (GGA-PBE) data for a relaxed PdSe3O crystal, as listed in the Alexandria database.

Energy relative to the elements, uncorrected = 4.8 eV per formula unit

The structure in POSCAR format:
```
PdSe3O
1.0
4.9671 0.0000 0.0000
0.0000 4.9671 0.0000
0.0000 0.0000 4.9671
Pd Se O
1 3 1
direct
0.0000 0.0000 0.0000
0.0000 0.0000 0.5000
0.0000 0.5000 0.0000
0.5000 0.0000 0.0000
0.5000 0.5000 0.5000
```


Total magnetic moment: 0.000; 0.000; 4.243 (μB per cell)
VASP energy: -8.045; -4.688; -3.166 (eV/atom)